1.
# Ag2Pd5Au PBE-GGA relaxed
# Polymorph energy (0 for the lowest one): 7 meV per atom
# Formation energy: -19 meV per atom
# Calculated volume: 521.50 Å³ per cell
data_Ag2Pd5Au
_chemical_formula_sum 'Ag8 Pd20 Au4'
_cell_length_a 5.682
_cell_length_b 9.861
_cell_length_c 9.307
_cell_angle_alpha 90.00
_cell_angle_beta 90.00
_cell_angle_gamma 90.00
_space_group_name_H-M_alt 'P 1'
_space_group_IT_number 1
_space_group_name_Hall 'P 1'
loop_
_atom_site_label
_atom_site_fract_x
_atom_site_fract_y
_atom_site_fract_z
Ag1 0.000 0.916 0.751
Ag2 0.000 0.084 0.249
Ag3 0.000 0.584 0.251
Ag4 0.000 0.416 0.749
Ag5 0.750 0.000 0.500
Ag6 0.250 0.500 0.000
Ag7 0.250 0.000 0.500
Ag8 0.750 0.500 0.000
Pd1 0.750 0.167 0.752
Pd2 0.750 0.833 0.248
Pd3 0.250 0.333 0.252
Pd4 0.250 0.667 0.748
Pd5 0.250 0.833 0.248
Pd6 0.250 0.167 0.752
Pd7 0.750 0.667 0.748
Pd8 0.750 0.333 0.252
Pd9 0.500 0.248 0.000
Pd10 0.500 0.752 0.000
Pd11 0.500 0.252 0.500
Pd12 0.500 0.748 0.500
Pd13 0.000 0.247 0.001
Pd14 0.000 0.753 0.999
Pd15 0.000 0.253 0.501
Pd16 0.000 0.747 0.499
Pd17 0.751 0.000 0.000
Pd18 0.249 0.500 0.500
Pd19 0.249 0.000 0.000
Pd20 0.751 0.500 0.500
Au1 0.500 0.415 0.748
Au2 0.500 0.585 0.252
Au3 0.500 0.085 0.248
Au4 0.500 0.915 0.752

***

2.
# Tm11Zn4Cd9 PBE-GGA relaxed
# Formation energy: -307 meV per atom
# Calculated volume: 573.49 Å³ per cell
data_Tm11Zn4Cd9
_chemical_formula_sum 'Tm11 Zn4 Cd9'
_cell_length_a 3.682
_cell_length_b 12.990
_cell_length_c 12.990
_cell_angle_alpha 112.62
_cell_angle_beta 90.00
_cell_angle_gamma 90.00
_space_group_name_H-M_alt 'P 1'
_space_group_IT_number 1
_space_group_name_Hall 'P 1'
loop_
_atom_site_label
_atom_site_fract_x
_atom_site_fract_y
_atom_site_fract_z
Tm1 0.000 0.586 0.926
Tm2 0.000 0.414 0.074
Tm3 0.000 0.926 0.586
Tm4 0.000 0.074 0.414
Tm5 0.000 0.638 0.362
Tm6 0.000 0.362 0.638
Tm7 0.000 0.837 0.163
Tm8 0.000 0.163 0.837
Tm9 0.000 0.000 0.000
Tm10 0.000 0.710 0.710
Tm11 0.000 0.290 0.290
Zn1 0.500 0.549 0.741
Zn2 0.500 0.451 0.259
Zn3 0.500 0.741 0.549
Zn4 0.500 0.259 0.451
Cd1 0.500 0.632 0.152
Cd2 0.500 0.368 0.848
Cd3 0.500 0.152 0.632
Cd4 0.500 0.848 0.368
Cd5 0.500 0.787 0.935
Cd6 0.500 0.213 0.065
Cd7 0.500 0.935 0.787
Cd8 0.500 0.065 0.213
Cd9 0.500 0.500 0.500